# 1
Computed, not measured: a geometry-optimized LiMg6Tl3 structure at the PBE level of DFT.

ΔH_f (0 K)	-0.6	eV/f.u.
VASP energy	-38.39	eV for the cell shown
energy above the most stable polymorph in this dataset	0.000	eV/atom

Cell and atoms, written as POSCAR:
```
LiMg6Tl3
1.0
-2.655 -2.017 3.956
4.691 -7.099 -0.471
4.676 7.551 6.988
Mg Tl Li
12 6 2
direct
0.750 0.460 0.073
0.750 0.965 0.576
0.250 0.035 0.424
0.250 0.838 0.817
0.750 0.757 0.968
0.750 0.661 0.668
0.250 0.339 0.332
0.750 0.375 0.776
0.750 0.162 0.183
0.250 0.625 0.224
0.250 0.540 0.927
0.250 0.243 0.032
0.250 0.720 0.521
0.750 0.067 0.884
0.250 0.159 0.724
0.750 0.841 0.276
0.750 0.280 0.479
0.250 0.933 0.116
0.750 0.559 0.373
0.250 0.441 0.627
```

=====

# 2
Computed, not measured: a geometry-optimized LiMg2Tl structure at the PBE level of DFT.

ΔH_f (0 K)	-0.2	eV/f.u.
VASP energy	-7.64	eV for the cell shown
energy above the most stable polymorph in this dataset	0.088	eV/atom

Cell and atoms, written as POSCAR:
```
LiMg2Tl
1.0
-2.846 -9.539 -1.726
0.287 -9.729 -2.709
-0.462 -10.081 0.474
Tl Mg Li
1 2 1
direct
0.496 0.496 0.496
0.247 0.247 0.247
0.004 0.004 0.004
0.753 0.753 0.753
```

=====

# 3
Computed, not measured: a geometry-optimized Li3MgTl6 structure at the PBE level of DFT.

ΔH_f (0 K)	-0.6	eV/f.u.
VASP energy	-22.18	eV for the cell shown
energy above the most stable polymorph in this dataset	0.033	eV/atom

Cell and atoms, written as POSCAR:
```
Li3MgTl6
1.0
7.586 -1.389 -0.981
2.671 5.450 -0.354
2.671 1.488 5.255
Tl Li Mg
6 3 1
direct
0.301 0.626 0.100
0.063 0.666 0.666
0.301 0.100 0.626
0.699 0.374 0.900
0.937 0.334 0.334
0.699 0.900 0.374
0.000 0.000 0.000
0.675 0.880 0.880
0.325 0.120 0.120
0.500 0.500 0.500
```

=====

The calculation returns the following V values, one per record and in order: 23.22 23.24 25.24 Å³ per atom.